[1]
The following is a PBE-GGA calculation of a relaxed structure of In3NiGe, from Alexandria via LeMat-Bulk.

Summary:
The calculation puts the formation energy from the elements at 0.8635 eV/atom. The calculation puts the calculated volume at 29.55 A^3/atom.

CIF file:
```
data_In3NiGe
_cell_length_a 5.2865
_cell_length_b 5.2865
_cell_length_c 5.2865
_cell_angle_alpha 90.00
_cell_angle_beta 90.00
_cell_angle_gamma 90.00
_symmetry_space_group_name_H-M 'P m -3 m'
_symmetry_Int_Tables_number 221
_symmetry_space_group_name_Hall '-P 4 2 3'
loop_
_atom_site_label
_atom_site_type_symbol
_atom_site_fract_x
_atom_site_fract_y
_atom_site_fract_z
In1 In 0.0000 0.0000 0.5000
Ni1 Ni 0.5000 0.5000 0.5000
Ge1 Ge 0.0000 0.0000 0.0000
```

=====

[2]
The following is a PBE-GGA calculation of a relaxed structure of InNi2Ge2, from Alexandria via LeMat-Bulk.

Summary:
The calculation puts the formation energy from the elements at 0.0024 eV/atom. The calculation puts the calculated volume at 15.74 A^3/atom.

CIF file:
```
data_InNi2Ge2
_cell_length_a 7.2950
_cell_length_b 7.2950
_cell_length_c 2.9584
_cell_angle_alpha 90.00
_cell_angle_beta 90.00
_cell_angle_gamma 90.00
_symmetry_space_group_name_H-M 'P 4/m b m'
_symmetry_Int_Tables_number 127
_symmetry_space_group_name_Hall '-P 4 2ab'
loop_
_atom_site_label
_atom_site_type_symbol
_atom_site_fract_x
_atom_site_fract_y
_atom_site_fract_z
In1 In 0.0000 0.0000 0.0000
Ni1 Ni 0.1304 0.3696 0.0000
Ge1 Ge 0.1565 0.6565 0.5000
```

=====

[3]
The following is a PBE-GGA calculation of a relaxed structure of InNiGe3, from Alexandria via LeMat-Bulk.

Summary:
The calculation puts the formation energy from the elements at 0.1857 eV/atom. The calculation puts the calculated volume at 20.68 A^3/atom.

CIF file:
```
data_InNiGe3
_cell_length_a 4.6939
_cell_length_b 4.6939
_cell_length_c 4.6939
_cell_angle_alpha 90.00
_cell_angle_beta 90.00
_cell_angle_gamma 90.00
_symmetry_space_group_name_H-M 'P m -3 m'
_symmetry_Int_Tables_number 221
_symmetry_space_group_name_Hall '-P 4 2 3'
loop_
_atom_site_label
_atom_site_type_symbol
_atom_site_fract_x
_atom_site_fract_y
_atom_site_fract_z
In1 In 0.0000 0.0000 0.0000
Ni1 Ni 0.5000 0.5000 0.5000
Ge1 Ge 0.0000 0.5000 0.5000
```

=====

[4]
The following is a PBE-GGA calculation of a relaxed structure of In2NiGe2, from Alexandria via LeMat-Bulk.

Summary:
The calculation puts the formation energy from the elements at 0.0627 eV/atom. The calculation puts the calculated volume at 20.38 A^3/atom.

CIF file:
```
data_In2NiGe2
_cell_length_a 6.2801
_cell_length_b 6.2801
_cell_length_c 5.1682
_cell_angle_alpha 90.00
_cell_angle_beta 90.00
_cell_angle_gamma 90.00
_symmetry_space_group_name_H-M 'P 4/m b m'
_symmetry_Int_Tables_number 127
_symmetry_space_group_name_Hall '-P 4 2ab'
loop_
_atom_site_label
_atom_site_type_symbol
_atom_site_fract_x
_atom_site_fract_y
_atom_site_fract_z
In1 In 0.1793 0.3207 0.0000
Ni1 Ni 0.0000 0.0000 0.5000
Ge1 Ge 0.1486 0.6486 0.5000
```

=====

[5]
The following is a PBE-GGA calculation of a relaxed structure of InNi6Ge, from Alexandria via LeMat-Bulk.

Summary:
The calculation puts the formation energy from the elements at -0.1648 eV/atom. The calculation puts the calculated volume at 12.27 A^3/atom.

CIF file:
```
data_InNi6Ge
_cell_length_a 3.6760
_cell_length_b 3.6760
_cell_length_c 7.2622
_cell_angle_alpha 90.00
_cell_angle_beta 90.00
_cell_angle_gamma 90.00
_symmetry_space_group_name_H-M 'P 4/m m m'
_symmetry_Int_Tables_number 123
_symmetry_space_group_name_Hall '-P 4 2'
loop_
_atom_site_label
_atom_site_type_symbol
_atom_site_fract_x
_atom_site_fract_y
_atom_site_fract_z
In1 In 0.0000 0.0000 0.0000
Ni1 Ni 0.0000 0.5000 0.2666
Ni2 Ni 0.5000 0.5000 0.0000
Ni3 Ni 0.5000 0.5000 0.5000
Ge1 Ge 0.0000 0.0000 0.5000
```

=====

[6]
The following is a PBE-GGA calculation of a relaxed structure of InNi15Ge4, from Alexandria via LeMat-Bulk.

Summary:
The calculation puts the formation energy from the elements at -0.2368 eV/atom. The calculation puts the calculated volume at 11.76 A^3/atom.

CIF file:
```
data_InNi15Ge4
_cell_length_a 3.6111
_cell_length_b 3.6111
_cell_length_c 18.0429
_cell_angle_alpha 90.00
_cell_angle_beta 90.00
_cell_angle_gamma 90.00
_symmetry_space_group_name_H-M 'P 4/m m m'
_symmetry_Int_Tables_number 123
_symmetry_space_group_name_Hall '-P 4 2'
loop_
_atom_site_label
_atom_site_type_symbol
_atom_site_fract_x
_atom_site_fract_y
_atom_site_fract_z
In1 In 0.0000 0.0000 0.0000
Ni1 Ni 0.0000 0.5000 0.1092
Ni2 Ni 0.0000 0.5000 0.3040
Ni3 Ni 0.0000 0.5000 0.5000
Ni4 Ni 0.5000 0.5000 0.0000
Ni5 Ni 0.5000 0.5000 0.2068
Ni6 Ni 0.5000 0.5000 0.4020
Ge1 Ge 0.0000 0.0000 0.2045
Ge2 Ge 0.0000 0.0000 0.4016
```